# In3BSe (GGA-PBE, optimized geometry)
data_In3BSe
_chemical_formula_sum 'In3 B1 Se1'
_cell_length_a 5.609
_cell_length_b 5.609
_cell_length_c 5.609
_cell_angle_alpha 90.00
_cell_angle_beta 90.00
_cell_angle_gamma 90.00
_symmetry_space_group_name_H-M 'P 1'
_symmetry_Int_Tables_number 1
_symmetry_space_group_name_Hall 'P 1'
loop_
_atom_site_label
_atom_site_type_symbol
_atom_site_fract_x
_atom_site_fract_y
_atom_site_fract_z
In1 In 0.500 0.000 0.000
In2 In 0.000 0.500 0.000
In3 In 0.000 0.000 0.500
Se1 Se 0.000 0.000 0.000
B1 B 0.500 0.500 0.500
# - E above lowest polymorph: 5.08 eV per formula unit
# - Raw formation energy: 6.3 eV per formula unit
# - Total DFT energy (no corrections): -2.408 eV/atom